This record from the Alexandria database describes crystalline KAg5Cl7 at its relaxed geometry. The functional is PBE.

Properties
Excess energy over the best structure of this formula in the dataset, eV/atom: 0.0000
Size of the total moment, μB per formula unit: 0.00
Calculated volume, Å³ per cell: 623

Cell: 6.9748 6.9748 22.6732 Å, 90.13 90.13 34.39°
Fractional positions:
1 K 0.1864 0.1864 0.2498
2 K 0.8136 0.8136 0.7502
3 Ag 0.0000 0.0000 0.0000
4 Ag 0.0000 0.0000 0.5000
5 Ag 0.2897 0.2897 0.5711
6 Ag 0.2897 0.2897 0.9290
7 Ag 0.4404 0.4404 0.3548
8 Ag 0.4406 0.4406 0.1453
9 Ag 0.5594 0.5594 0.8547
10 Ag 0.5596 0.5596 0.6452
11 Ag 0.7103 0.7103 0.0710
12 Ag 0.7103 0.7103 0.4289
13 Cl 0.0724 0.0724 0.1063
14 Cl 0.0720 0.0720 0.3940
15 Cl 0.1952 0.1952 0.8335
16 Cl 0.1957 0.1957 0.6663
17 Cl 0.3595 0.3595 0.4664
18 Cl 0.3599 0.3599 0.0336
19 Cl 0.4888 0.4888 0.7499
20 Cl 0.5112 0.5112 0.2501
21 Cl 0.6401 0.6401 0.9664
22 Cl 0.6405 0.6405 0.5336
23 Cl 0.8043 0.8043 0.3337
24 Cl 0.8048 0.8048 0.1665
25 Cl 0.9280 0.9280 0.6060
26 Cl 0.9276 0.9276 0.8937